{"formula": "Rh3WO7", "functional": "PBE+U", "state": "relaxed", "cell": [[5.4695, -0.0176, -1.1982], [-1.4855, 5.2639, -1.1982], [-0.0133, -0.0176, 5.5991]], "species": ["O", "W", "Rh", "O", "Rh", "O", "O", "O", "Rh", "O", "O"], "frac_coords": [[0.6814, 0.6814, 0.0155], [0.8745, 0.8745, 0.8745], [0.4118, 0.4118, 0.0506], [0.2660, 0.6714, 0.2660], [0.4118, 0.0506, 0.4118], [0.0155, 0.6814, 0.6814], [0.2660, 0.2660, 0.6714], [0.6814, 0.0155, 0.6814], [0.0506, 0.4118, 0.4118], [0.1381, 0.1381, 0.1381], [0.6714, 0.2660, 0.2660]], "dft_energy_ev_per_atom": -6.58}